1.
A plane-wave DFT calculation with PBE was carried out for a geometry-optimized LaGaRh3 structure.

Calculated values
- M_tot: 0.008 μB per cell
- Space group: Pm-3m
- Energy relative to the lowest polymorph listed for this composition: 0.000 eV/atom
- Theoretical density: 8.7 g/cm3
- Final energy: -6.2976 eV per atom

a = 4.630 Å, b = 4.630 Å, c = 4.630 Å
α = 90.00°, β = 90.00°, γ = 90.00°
Fractional coordinates of all 5 atoms:
Rh 0.500 0.000 0.000
Rh 0.000 0.500 0.000
Rh 0.000 0.000 0.500
Ga 0.000 0.000 0.000
La 0.500 0.500 0.500

---

2.
A plane-wave DFT calculation with PBE was carried out for a geometry-optimized CeCuGe2Rh structure.

Calculated values
- M_tot: 0.549 μB per cell
- Space group: I-4m2
- Theoretical density: 8.3 g/cm3
- Final energy: -5.9506 eV per atom

a = 4.190 Å, b = 4.190 Å, c = 5.935 Å
α = 110.67°, β = 110.67°, γ = 90.00°
Last column: magnetic moment on the atom in μB.
Fractional coordinates of all 5 atoms:
Ce 0.000 0.000 0.000  0.48
Ge 0.378 0.378 0.756  0.00
Ge 0.622 0.622 0.244  0.00
Rh 0.750 0.250 0.500  -0.01
Cu 0.250 0.750 0.500  0.00